1.
VASP calculation (PBE) on crystalline KCoRe3 at its relaxed geometry.

Calculated values
The relative energy among the computed polymorphs comes out at 0 meV per atom. For the formation energy from the elements, the calculation gives 984.6 kJ/mol of formula units.

Cell and atoms, written as CIF:
```
data_KCoRe3
_chemical_formula_sum 'K1 Co1 Re3'
_cell_length_a 4.5769
_cell_length_b 4.5769
_cell_length_c 4.5769
_cell_angle_alpha 90.00
_cell_angle_beta 90.00
_cell_angle_gamma 90.00
_symmetry_space_group_name_H-M 'P m -3 m'
_symmetry_Int_Tables_number 221
_symmetry_space_group_name_Hall '-P 4 2 3'
loop_
_atom_site_label
_atom_site_type_symbol
_atom_site_fract_x
_atom_site_fract_y
_atom_site_fract_z
K1 K 0.0000 0.0000 0.0000
Co1 Co 0.5000 0.5000 0.5000
Re1 Re 0.0000 0.5000 0.5000
```

=====

2.
VASP calculation (PBE) on crystalline LiTa3Co at its relaxed geometry.

Calculated values
The relative energy among the computed polymorphs comes out at 0 meV per atom. For the formation energy from the elements, the calculation gives 409.9 kJ/mol of formula units.

Cell and atoms, written as CIF:
```
data_LiTa3Co
_chemical_formula_sum 'Li1 Ta3 Co1'
_cell_length_a 4.6152
_cell_length_b 4.6152
_cell_length_c 4.6152
_cell_angle_alpha 90.00
_cell_angle_beta 90.00
_cell_angle_gamma 90.00
_symmetry_space_group_name_H-M 'P m -3 m'
_symmetry_Int_Tables_number 221
_symmetry_space_group_name_Hall '-P 4 2 3'
loop_
_atom_site_label
_atom_site_type_symbol
_atom_site_fract_x
_atom_site_fract_y
_atom_site_fract_z
Li1 Li 0.0000 0.0000 0.0000
Ta1 Ta 0.0000 0.5000 0.5000
Co1 Co 0.5000 0.5000 0.5000
```

=====

3.
VASP calculation (PBE) on crystalline KPtBr at its relaxed geometry.

Calculated values
Its raw formation energy is -657 meV per atom. The relative energy among the computed polymorphs comes out at 14 meV per atom.

Cell and atoms, written as CIF:
```
data_KPtBr
_chemical_formula_sum 'K4 Pt4 Br4'
_cell_length_a 3.8469
_cell_length_b 10.2832
_cell_length_c 9.0913
_cell_angle_alpha 90.00
_cell_angle_beta 90.00
_cell_angle_gamma 90.00
_symmetry_space_group_name_H-M 'A m m 2'
_symmetry_Int_Tables_number 38
loop_
_symmetry_equiv_pos_as_xyz
'x,y,z'
'-x,-y,z'
'-x,y,z'
'x,-y,z'
'x,y+1/2,z+1/2'
'-x,-y+1/2,z+1/2'
'-x,y+1/2,z+1/2'
'x,-y+1/2,z+1/2'
loop_
_atom_site_label
_atom_site_type_symbol
_atom_site_fract_x
_atom_site_fract_y
_atom_site_fract_z
K1 K 0.0000 0.2290 0.0000
Pt1 Pt 0.0000 0.0000 0.3304
Pt2 Pt 0.5000 0.0000 0.5221
Br1 Br 0.0000 0.0000 0.7193
Br2 Br 0.5000 0.0000 0.1361
```

=====

4.
VASP calculation (PBE) on crystalline Rb5Cl2OF at its relaxed geometry.

Calculated values
Its raw formation energy is -1643 meV per atom.

Cell and atoms, written as CIF:
```
data_Rb5Cl2OF
_chemical_formula_sum 'Rb10 Cl4 O2 F2'
_cell_length_a 5.2749
_cell_length_b 7.5168
_cell_length_c 16.0354
_cell_angle_alpha 90.00
_cell_angle_beta 90.00
_cell_angle_gamma 90.00
_symmetry_space_group_name_H-M 'I m m m'
_symmetry_Int_Tables_number 71
_symmetry_space_group_name_Hall '-I 2 2'
loop_
_atom_site_label
_atom_site_type_symbol
_atom_site_fract_x
_atom_site_fract_y
_atom_site_fract_z
Rb1 Rb 0.0000 0.0000 0.0000
Rb2 Rb 0.0000 0.2503 0.3779
Cl1 Cl 0.0000 0.0000 0.2054
O1 O 0.0000 0.5000 0.5000
F1 F 0.0000 0.5000 0.0000
```

=====

5.
VASP calculation (PBE) on crystalline BeAlAs2 at its relaxed geometry.

Calculated values
The relative energy among the computed polymorphs comes out at 552 meV per atom. For the formation energy from the elements, the calculation gives 147.8 kJ/mol of formula units.

Cell and atoms, written as CIF:
```
data_BeAlAs2
_chemical_formula_sum 'Be1 Al1 As2'
_cell_length_a 4.3324
_cell_length_b 4.3324
_cell_length_c 3.4182
_cell_angle_alpha 90.00
_cell_angle_beta 90.00
_cell_angle_gamma 90.00
_symmetry_space_group_name_H-M 'P 4/m m m'
_symmetry_Int_Tables_number 123
_symmetry_space_group_name_Hall '-P 4 2'
loop_
_atom_site_label
_atom_site_type_symbol
_atom_site_fract_x
_atom_site_fract_y
_atom_site_fract_z
Be1 Be 0.0000 0.0000 0.0000
Al1 Al 0.5000 0.5000 0.0000
As1 As 0.0000 0.5000 0.5000
```

=====

6.
VASP calculation (PBE) on crystalline LaWSeBr2 at its relaxed geometry.

Calculated values
Its raw formation energy is 240 meV per atom. The relative energy among the computed polymorphs comes out at 368 meV per atom.

Cell and atoms, written as CIF:
```
data_LaWSeBr2
_chemical_formula_sum 'La1 W1 Se1 Br2'
_cell_length_a 5.7252
_cell_length_b 5.7252
_cell_length_c 5.9107
_cell_angle_alpha 90.00
_cell_angle_beta 90.00
_cell_angle_gamma 90.00
_symmetry_space_group_name_H-M 'P 4/m m m'
_symmetry_Int_Tables_number 123
_symmetry_space_group_name_Hall '-P 4 2'
loop_
_atom_site_label
_atom_site_type_symbol
_atom_site_fract_x
_atom_site_fract_y
_atom_site_fract_z
La1 La 0.0000 0.0000 0.0000
W1 W 0.5000 0.5000 0.5000
Se1 Se 0.0000 0.0000 0.5000
Br1 Br 0.0000 0.5000 0.0000
```

=====

7.
VASP calculation (PBE) on crystalline MoRuPb4 at its relaxed geometry.

Calculated values
For the formation energy from the elements, the calculation gives 781.5 kJ/mol of formula units.

Cell and atoms, written as CIF:
```
data_MoRuPb4
_chemical_formula_sum 'Mo4 Ru4 Pb16'
_cell_length_a 8.7512
_cell_length_b 8.7512
_cell_length_c 8.7512
_cell_angle_alpha 90.00
_cell_angle_beta 90.00
_cell_angle_gamma 90.00
_symmetry_space_group_name_H-M 'F -4 3 m'
_symmetry_Int_Tables_number 216
_symmetry_space_group_name_Hall 'F -4 2 3'
loop_
_atom_site_label
_atom_site_type_symbol
_atom_site_fract_x
_atom_site_fract_y
_atom_site_fract_z
Mo1 Mo 0.0000 0.0000 0.0000
Ru1 Ru 0.2500 0.2500 0.2500
Pb1 Pb 0.1249 0.1249 0.6249
```

=====

8.
VASP calculation (PBE) on crystalline Ti6Ga5C at its relaxed geometry.

Calculated values
For the formation energy from the elements, the calculation gives -463.7 kJ/mol of formula units.

Cell and atoms, written as CIF:
```
data_Ti6Ga5C
_chemical_formula_sum 'Ti12 Ga10 C2'
_cell_length_a 7.2637
_cell_length_b 9.8326
_cell_length_c 5.5041
_cell_angle_alpha 90.00
_cell_angle_beta 104.49
_cell_angle_gamma 90.00
_symmetry_space_group_name_H-M 'C 1 2/m 1'
_symmetry_Int_Tables_number 12
loop_
_symmetry_equiv_pos_as_xyz
'x,y,z'
'-x,-y,-z'
'-x,y,-z'
'x,-y,z'
'x+1/2,y+1/2,z'
'-x+1/2,-y+1/2,-z'
'-x+1/2,y+1/2,-z'
'x+1/2,-y+1/2,z'
loop_
_atom_site_label
_atom_site_type_symbol
_atom_site_fract_x
_atom_site_fract_y
_atom_site_fract_z
Ti1 Ti 0.1592 0.0000 0.2129
Ti2 Ti 0.1907 0.1460 0.6895
Ga1 Ga 0.0000 0.2341 0.0000
Ga2 Ga 0.0000 0.3720 0.5000
Ga3 Ga 0.0000 0.5000 0.0000
C1 C 0.0000 0.0000 0.5000
```

=====

9.
VASP calculation (PBE) on crystalline Gd2MnRh at its relaxed geometry.

Calculated values
For the formation energy from the elements, the calculation gives -94.1 kJ/mol of formula units.

Cell and atoms, written as CIF:
```
data_Gd2MnRh
_chemical_formula_sum 'Gd2 Mn1 Rh1'
_cell_length_a 3.5331
_cell_length_b 3.5331
_cell_length_c 6.9846
_cell_angle_alpha 90.00
_cell_angle_beta 90.00
_cell_angle_gamma 90.00
_symmetry_space_group_name_H-M 'P 4/m m m'
_symmetry_Int_Tables_number 123
_symmetry_space_group_name_Hall '-P 4 2'
loop_
_atom_site_label
_atom_site_type_symbol
_atom_site_fract_x
_atom_site_fract_y
_atom_site_fract_z
Gd1 Gd 0.0000 0.0000 0.2362
Mn1 Mn 0.5000 0.5000 0.5000
Rh1 Rh 0.5000 0.5000 0.0000
```

=====

10.
VASP calculation (PBE) on crystalline LiTmCu4 at its relaxed geometry.

Calculated values
For the formation energy from the elements, the calculation gives -107.7 kJ/mol of formula units.

Cell and atoms, written as CIF:
```
data_LiTmCu4
_chemical_formula_sum 'Li4 Tm4 Cu16'
_cell_length_a 7.1059
_cell_length_b 7.1059
_cell_length_c 7.1059
_cell_angle_alpha 90.00
_cell_angle_beta 90.00
_cell_angle_gamma 90.00
_symmetry_space_group_name_H-M 'F -4 3 m'
_symmetry_Int_Tables_number 216
_symmetry_space_group_name_Hall 'F -4 2 3'
loop_
_atom_site_label
_atom_site_type_symbol
_atom_site_fract_x
_atom_site_fract_y
_atom_site_fract_z
Li1 Li 0.0000 0.0000 0.0000
Tm1 Tm 0.2500 0.2500 0.7500
Cu1 Cu 0.1260 0.1260 0.3740
```

=====

11.
VASP calculation (PBE) on crystalline Ca2SiCl at its relaxed geometry.

Calculated values
Its raw formation energy is -770 meV per atom. The relative energy among the computed polymorphs comes out at 297 meV per atom.

Cell and atoms, written as CIF:
```
data_Ca2SiCl
_chemical_formula_sum 'Ca8 Si4 Cl4'
_cell_length_a 7.3503
_cell_length_b 7.3503
_cell_length_c 7.3503
_cell_angle_alpha 90.00
_cell_angle_beta 90.00
_cell_angle_gamma 90.00
_symmetry_space_group_name_H-M 'F m -3 m'
_symmetry_Int_Tables_number 225
_symmetry_space_group_name_Hall '-F 4 2 3'
loop_
_atom_site_label
_atom_site_type_symbol
_atom_site_fract_x
_atom_site_fract_y
_atom_site_fract_z
Ca1 Ca 0.2500 0.2500 0.2500
Si1 Si 0.0000 0.0000 0.0000
Cl1 Cl 0.0000 0.0000 0.5000
```

=====

12.
VASP calculation (PBE) on crystalline P2Pb2Cl at its relaxed geometry.

Calculated values
Its raw formation energy is -143 meV per atom.

Cell and atoms, written as CIF:
```
data_P2Pb2Cl
_chemical_formula_sum 'P4 Pb4 Cl2'
_cell_length_a 4.0324
_cell_length_b 4.0324
_cell_length_c 15.8098
_cell_angle_alpha 90.00
_cell_angle_beta 90.00
_cell_angle_gamma 90.00
_symmetry_space_group_name_H-M 'I 4/m m m'
_symmetry_Int_Tables_number 139
_symmetry_space_group_name_Hall '-I 4 2'
loop_
_atom_site_label
_atom_site_type_symbol
_atom_site_fract_x
_atom_site_fract_y
_atom_site_fract_z
P1 P 0.0000 0.5000 0.2500
Pb1 Pb 0.0000 0.0000 0.1183
Cl1 Cl 0.0000 0.0000 0.5000
```